First-principles (SCAN) data for a PBEsol-optimized structure of SrCu2Ir, as listed in Alexandria via LeMat-Bulk.

Values from the calculation:
- N(E_F): 2.0 states/eV/cell
- V: 78.1 Å³ per cell
- Total magnetic moment: 0.0 Bohr magnetons per cell
- Calculated formation energy: -0.131 eV per atom

Cell lengths 4.230, 4.230, 5.601 Å; angles 67.81, 67.81, 60.00 degrees
Fractional coordinates of all 4 atoms:
Ir: 0.000 0.000 0.000
Sr: 0.500 0.500 0.500
Cu: 0.309 0.309 0.073
Cu: 0.691 0.691 0.927

First-principles (SCAN) data for a PBEsol-optimized structure of Ta2CoRu, as listed in Alexandria via LeMat-Bulk.

Values from the calculation:
- N(E_F): 3.9 states/eV/cell
- V: 61.1 Å³ per cell
- Total magnetic moment: 1.2 Bohr magnetons per cell
- Calculated formation energy: 0.231 eV per atom

Cell lengths 2.931, 2.931, 8.388 Å; angles 79.94, 79.94, 60.00 degrees
Fractional coordinates of all 4 atoms:
Co: 0.498 0.498 0.505
Ta: 0.758 0.758 0.727
Ta: 0.996 0.996 0.012
Ru: 0.248 0.248 0.257

First-principles (SCAN) data for a PBEsol-optimized structure of MnBeRh2, as listed in Alexandria via LeMat-Bulk.

Values from the calculation:
- N(E_F): 2.0 states/eV/cell
- V: 47.2 Å³ per cell
- Total magnetic moment: 3.4 Bohr magnetons per cell
- Calculated formation energy: -0.576 eV per atom

Cell lengths 2.957, 3.996, 3.996 Å; angles 90.00, 90.00, 90.00 degrees
Fractional coordinates of all 4 atoms:
Rh: 0.000 0.000 0.500
Rh: 0.000 0.500 0.000
Mn: 0.500 0.000 0.000
Be: 0.500 0.500 0.500

First-principles (SCAN) data for a PBEsol-optimized structure of FeCuPt2, as listed in Alexandria via LeMat-Bulk.

Values from the calculation:
- N(E_F): 2.1 states/eV/cell
- V: 53.9 Å³ per cell
- Total magnetic moment: 3.4 Bohr magnetons per cell
- Calculated formation energy: -0.122 eV per atom

Cell lengths 2.681, 2.681, 8.791 Å; angles 81.23, 81.23, 60.00 degrees
Fractional coordinates of all 4 atoms:
Pt: 0.994 0.994 0.017
Pt: 0.755 0.755 0.736
Cu: 0.504 0.504 0.489
Fe: 0.247 0.247 0.258

Question: Number 2 is which compound?
Answer: Ta2CoRu